## i
FeTcMo | PBE | relaxed

Properties
**Magnetization**: 2.788 μB/cell

a b c (Å): 4.348 4.348 2.618
angles (deg): 90.00 90.00 120.00
Positions (direct):
Fe  0.000  0.000  0.000
Tc  0.667  0.333  0.652
Mo  0.333  0.667  0.345

---

## ii
FeTcMo | PBE | relaxed

Properties
**Magnetization**: 1.795 μB/cell

a b c (Å): 5.696 5.696 5.696
angles (deg): 90.00 90.00 90.00
Positions (direct):
Fe  0.000  0.000  0.000
Fe  0.000  0.500  0.500
Fe  0.500  0.000  0.500
Fe  0.500  0.500  0.000
Tc  0.250  0.250  0.750
Tc  0.250  0.750  0.250
Tc  0.750  0.250  0.250
Tc  0.750  0.750  0.750
Mo  0.250  0.250  0.250
Mo  0.250  0.750  0.750
Mo  0.750  0.250  0.750
Mo  0.750  0.750  0.250

---

Verdict on stability: ii comes out at the bottom.

---

## i
FeTcMo | PBE | relaxed

Properties
**Magnetization**: 0.001 μB/cell

a b c (Å): 2.660 2.660 11.616
angles (deg): 90.00 90.00 90.00
Positions (direct):
Fe  0.000  0.000  0.000
Fe  0.500  0.500  0.500
Tc  0.000  0.000  0.642
Tc  0.500  0.500  0.142
Mo  0.000  0.000  0.335
Mo  0.500  0.500  0.835

---

## ii
FeTcMo | PBE | relaxed

Properties
**Magnetization**: 4.274 μB/cell

a b c (Å): 2.596 4.019 8.156
angles (deg): 90.00 90.00 90.00
Positions (direct):
Fe  0.000  0.000  0.000
Fe  0.500  0.500  0.500
Tc  0.000  0.000  0.345
Tc  0.500  0.500  0.845
Mo  0.000  0.000  0.668
Mo  0.500  0.500  0.168

---

## iii
FeTcMo | PBE | relaxed

Properties
**Magnetization**: 1.648 μB/cell

a b c (Å): 2.708 2.708 6.660
angles (deg): 90.00 90.00 120.00
Positions (direct):
Fe  0.000  0.000  0.000
Tc  0.333  0.667  0.692
Mo  0.667  0.333  0.333

---

## iv
FeTcMo | PBE | relaxed

Properties
**Magnetization**: 9.056 μB/cell

a b c (Å): 3.120 4.282 12.746
angles (deg): 90.00 90.00 90.00
Positions (direct):
Fe  0.000  0.000  0.000
Fe  0.000  0.500  0.500
Fe  0.500  0.000  0.500
Fe  0.500  0.500  0.000
Tc  0.000  0.000  0.662
Tc  0.000  0.500  0.162
Tc  0.500  0.000  0.162
Tc  0.500  0.500  0.662
Mo  0.000  0.000  0.336
Mo  0.000  0.500  0.836
Mo  0.500  0.000  0.836
Mo  0.500  0.500  0.336

---

Verdict on stability: iii comes out at the bottom.

---

## i
FeTc3Mo | PBE | relaxed

Properties
**Magnetization**: 0.222 μB/cell

a b c (Å): 4.592 4.592 4.592
angles (deg): 90.00 90.00 90.00
Positions (direct):
Fe  0.000  0.000  0.000
Tc  0.000  0.500  0.500
Tc  0.500  0.000  0.500
Tc  0.500  0.500  0.000
Mo  0.500  0.500  0.500

---

## ii
FeTc3Mo | PBE | relaxed

Properties
**Magnetization**: 0.000 μB/cell

a b c (Å): 4.352 4.352 4.352
angles (deg): 90.00 90.00 90.00
Positions (direct):
Fe  0.000  0.000  0.000
Tc  0.000  0.000  0.500
Tc  0.000  0.500  0.000
Tc  0.500  0.000  0.000
Mo  0.500  0.500  0.500

---

Verdict on stability: i comes out at the bottom.

---

## i
Fe3TcMo | PBE | relaxed

Properties
**Magnetization**: 5.144 μB/cell

a b c (Å): 4.334 4.334 4.334
angles (deg): 90.00 90.00 90.00
Positions (direct):
Fe  0.000  0.000  0.500
Fe  0.000  0.500  0.000
Fe  0.500  0.000  0.000
Tc  0.000  0.000  0.000
Mo  0.500  0.500  0.500

---

## ii
Fe3TcMo | PBE | relaxed

Properties
**Magnetization**: 6.645 μB/cell

a b c (Å): 4.363 4.363 4.363
angles (deg): 90.00 90.00 90.00
Positions (direct):
Fe  0.000  0.000  0.500
Fe  0.000  0.500  0.000
Fe  0.500  0.000  0.000
Tc  0.500  0.500  0.500
Mo  0.000  0.000  0.000

---

Verdict on stability: ii comes out at the bottom.

---

## i
ZnFeTcMo2 | PBE | relaxed

Properties
**Magnetization**: 0.000 μB/cell

a b c (Å): 4.438 4.438 4.422
angles (deg): 90.00 90.00 90.00
Positions (direct):
Zn  0.000  0.000  0.000
Fe  0.500  0.500  0.500
Tc  0.500  0.500  0.000
Mo  0.000  0.500  0.500
Mo  0.500  0.000  0.500

---

## ii
ZnFeTcMo2 | PBE | relaxed

Properties
**Magnetization**: 1.542 μB/cell

a b c (Å): 4.535 4.535 4.183
angles (deg): 90.00 90.00 90.00
Positions (direct):
Zn  0.000  0.000  0.000
Fe  0.000  0.000  0.500
Tc  0.500  0.500  0.500
Mo  0.000  0.500  0.000
Mo  0.500  0.000  0.000

---

Verdict on stability: ii comes out at the bottom.

---

## i
FeTe2Mo | PBE | relaxed

Properties
**Magnetization**: 7.541 μB/cell

a b c (Å): 3.414 3.414 26.466
angles (deg): 90.00 90.00 120.00
Positions (direct):
Fe  0.000  0.000  0.000
Fe  0.333  0.667  0.667
Fe  0.667  0.333  0.333
Te  0.000  0.000  0.095
Te  0.000  0.000  0.905
Te  0.333  0.667  0.572
Te  0.333  0.667  0.762
Te  0.667  0.333  0.238
Te  0.667  0.333  0.428
Mo  0.000  0.000  0.500
Mo  0.333  0.667  0.167
Mo  0.667  0.333  0.833

---

## ii
FeTe2Mo | PBE | relaxed

Properties
**Magnetization**: 3.931 μB/cell

a b c (Å): 6.865 8.377 3.198
angles (deg): 90.00 116.69 90.00
Positions (direct):
Fe  0.000  0.000  0.000
Fe  0.500  0.500  0.000
Te  0.250  0.250  0.500
Te  0.250  0.750  0.500
Te  0.750  0.250  0.500
Te  0.750  0.750  0.500
Mo  0.000  0.500  0.000
Mo  0.500  0.000  0.000

---

## iii
FeTe2Mo | PBE | relaxed

Properties
**Magnetization**: 6.796 μB/cell

a b c (Å): 3.394 3.394 23.378
angles (deg): 90.00 90.00 120.00
Positions (direct):
Fe  0.000  0.000  0.000
Fe  0.333  0.667  0.667
Fe  0.667  0.333  0.333
Te  0.000  0.000  0.252
Te  0.000  0.000  0.748
Te  0.333  0.667  0.415
Te  0.333  0.667  0.918
Te  0.667  0.333  0.082
Te  0.667  0.333  0.585
Mo  0.000  0.000  0.500
Mo  0.333  0.667  0.167
Mo  0.667  0.333  0.833

---

Verdict on stability: ii comes out at the bottom.

---

## i
TiFeMo | PBE | relaxed

Properties
**Magnetization**: 3.183 μB/cell

a b c (Å): 3.094 3.094 9.048
angles (deg): 90.00 90.00 90.00
Positions (direct):
Ti  0.250  0.250  0.232
Ti  0.750  0.750  0.768
Fe  0.250  0.250  0.927
Fe  0.750  0.750  0.073
Mo  0.250  0.250  0.583
Mo  0.750  0.750  0.417

---

## ii
TiFeMo | PBE | relaxed

Properties
**Magnetization**: 4.950 μB/cell

a b c (Å): 4.506 7.756 4.962
angles (deg): 90.00 90.00 90.00
Positions (direct):
Ti  0.000  0.166  0.250
Ti  0.000  0.834  0.750
Ti  0.500  0.334  0.750
Ti  0.500  0.666  0.250
Fe  0.000  0.167  0.750
Fe  0.000  0.833  0.250
Fe  0.500  0.333  0.250
Fe  0.500  0.667  0.750
Mo  0.000  0.500  0.000
Mo  0.000  0.500  0.500
Mo  0.500  0.000  0.000
Mo  0.500  0.000  0.500

---

Verdict on stability: ii comes out at the bottom.

---

## i
TiVFeMo | PBE | relaxed

Properties
**Magnetization**: 0.001 μB/cell

a b c (Å): 3.017 3.017 6.076
angles (deg): 90.00 90.00 90.00
Positions (direct):
Ti  0.000  0.000  0.000
V  0.000  0.000  0.480
Fe  0.500  0.500  0.246
Mo  0.500  0.500  0.728

---

## ii
TiVFeMo | PBE | relaxed

Properties
**Magnetization**: 0.721 μB/cell

a b c (Å): 6.030 6.030 6.030
angles (deg): 90.00 90.00 90.00
Positions (direct):
Ti  0.000  0.000  0.000
Ti  0.000  0.500  0.500
Ti  0.500  0.000  0.500
Ti  0.500  0.500  0.000
V  0.000  0.000  0.500
V  0.000  0.500  0.000
V  0.500  0.000  0.000
V  0.500  0.500  0.500
Fe  0.250  0.250  0.750
Fe  0.250  0.750  0.250
Fe  0.750  0.250  0.250
Fe  0.750  0.750  0.750
Mo  0.250  0.250  0.250
Mo  0.250  0.750  0.750
Mo  0.750  0.250  0.750
Mo  0.750  0.750  0.250

---

Verdict on stability: i comes out at the bottom.